No. 1
! ZrSnSb2I, optimized geometry, DFT GGA-PBEsol; values from VASP
! Electronic total energy, eV per atom: -3.953
! Mass density, Mg/m³: 5.8
! Formation energy (no corrections), eV/atom: 0.893
! Volume, Å³ per cell: 167.3
&SYSTEM
  ibrav = 0, nat = 5, ntyp = 4
/
ATOMIC_SPECIES
Zr 91.22 Zr.upf
Sn 118.71 Sn.upf
Sb 121.76 Sb.upf
I 126.90 I.upf
CELL_PARAMETERS angstrom
5.473 0.000 0.000
0.000 5.473 0.000
0.000 0.000 5.586
ATOMIC_POSITIONS angstrom
Zr 0.000 0.000 0.000
Sn 2.737 2.737 2.793
Sb 0.000 2.737 2.793
Sb 2.737 0.000 2.793
I 2.737 2.737 0.000

---

No. 2
! SrSb2TeI, optimized geometry, DFT GGA-PBEsol; values from VASP
! Electronic total energy, eV per atom: -2.684
! Mass density, Mg/m³: 4.5
! Formation energy (no corrections), eV/atom: 0.565
! Volume, Å³ per cell: 214.3
&SYSTEM
  ibrav = 0, nat = 5, ntyp = 4
/
ATOMIC_SPECIES
Sr 87.62 Sr.upf
Sb 121.76 Sb.upf
Te 127.60 Te.upf
I 126.90 I.upf
CELL_PARAMETERS angstrom
6.106 0.000 0.000
0.000 6.106 0.000
0.000 0.000 5.747
ATOMIC_POSITIONS angstrom
Sr 0.000 0.000 0.000
Sb 0.000 3.053 0.000
Sb 3.053 0.000 0.000
Te 3.053 3.053 2.874
I 0.000 0.000 2.874

---

No. 3
! SrSbTe2I, optimized geometry, DFT GGA-PBEsol; values from VASP
! Electronic total energy, eV per atom: -3.500
! Mass density, Mg/m³: 5.1
! Formation energy (no corrections), eV/atom: -0.457
! Volume, Å³ per cell: 191.7
&SYSTEM
  ibrav = 0, nat = 5, ntyp = 4
/
ATOMIC_SPECIES
Sr 87.62 Sr.upf
Sb 121.76 Sb.upf
Te 127.60 Te.upf
I 126.90 I.upf
CELL_PARAMETERS angstrom
5.774 0.000 0.000
0.000 5.774 0.000
0.000 0.000 5.750
ATOMIC_POSITIONS angstrom
Sr 0.000 0.000 0.000
Sb 2.887 2.887 2.875
Te 0.000 2.887 2.875
Te 2.887 0.000 2.875
I 2.887 2.887 0.000

---

No. 4
! TaTcSbI2, optimized geometry, DFT GGA-PBEsol; values from VASP
! Electronic total energy, eV per atom: -4.938
! Mass density, Mg/m³: 7.9
! Formation energy (no corrections), eV/atom: 1.443
! Volume, Å³ per cell: 136.7
&SYSTEM
  ibrav = 0, nat = 5, ntyp = 4
/
ATOMIC_SPECIES
Ta 180.95 Ta.upf
Tc 98.00 Tc.upf
Sb 121.76 Sb.upf
I 126.90 I.upf
CELL_PARAMETERS angstrom
5.200 0.000 0.000
0.000 5.200 0.000
0.000 0.000 5.058
ATOMIC_POSITIONS angstrom
Ta 0.000 0.000 0.000
Tc 2.600 2.600 2.529
Sb 2.600 2.600 0.000
I 0.000 2.600 2.529
I 2.600 0.000 2.529

---

No. 5
! TaSbTeI2, optimized geometry, DFT GGA-PBEsol; values from VASP
! Electronic total energy, eV per atom: -4.358
! Energy above the most stable polymorph in this dataset, eV/atom: 0.000
! Mass density, Mg/m³: 7.3
! Formation energy (no corrections), eV/atom: 0.476
! Volume, Å³ per cell: 155.8
&SYSTEM
  ibrav = 0, nat = 5, ntyp = 4
/
ATOMIC_SPECIES
Ta 180.95 Ta.upf
Sb 121.76 Sb.upf
Te 127.60 Te.upf
I 126.90 I.upf
CELL_PARAMETERS angstrom
5.366 0.000 0.000
0.000 5.366 0.000
0.000 0.000 5.412
ATOMIC_POSITIONS angstrom
Ta 0.000 0.000 0.000
Sb 2.683 2.683 2.706
Te 0.000 0.000 2.706
I 0.000 2.683 0.000
I 2.683 0.000 0.000

---

No. 6
! TaSbTeI2, optimized geometry, DFT GGA-PBEsol; values from VASP
! Electronic total energy, eV per atom: -3.269
! Energy above the most stable polymorph in this dataset, eV/atom: 1.089
! Mass density, Mg/m³: 6.1
! Formation energy (no corrections), eV/atom: 1.565
! Volume, Å³ per cell: 186.9
&SYSTEM
  ibrav = 0, nat = 5, ntyp = 4
/
ATOMIC_SPECIES
Ta 180.95 Ta.upf
Sb 121.76 Sb.upf
Te 127.60 Te.upf
I 126.90 I.upf
CELL_PARAMETERS angstrom
5.679 0.000 0.000
0.000 5.679 0.000
0.000 0.000 5.794
ATOMIC_POSITIONS angstrom
Ta 0.000 0.000 0.000
Sb 2.839 2.839 0.000
Te 2.839 2.839 2.897
I 0.000 2.839 2.897
I 2.839 0.000 2.897